(1)
Material: CaMnPOs2
Method: DFT, GGA-PBE
State: relaxed

Cell: 4.4692 4.3946 4.4692 Å, 90.00 90.00 90.00°
Closest atoms and distances in Å follow each position.
Sites, in units of the cell vectors:
P1 0.0000 0.0000 0.0000  2 Mn 2.20, 4 Os 2.23
Ca1 0.5000 0.5000 0.5000  8 Os 3.13, 4 Mn 3.16
Os1 0.0000 0.0000 0.5000  2 P 2.23
Os2 0.5000 0.0000 0.0000  2 P 2.23
Mn1 0.0000 0.5000 0.0000  2 P 2.20

**Formation energy from the elements**: 1.49 eV per formula unit
**Space group**: P4/mmm, No. 123
**Raw total energy**: -7.5102 eV per atom



(2)
Material: CaMnP2Os
Method: DFT, GGA-PBE
State: relaxed

Cell: 3.9988 3.9988 5.7097 Å, 110.50 110.50 90.00°
Closest atoms and distances in Å follow each position.
Sites, in units of the cell vectors:
P1 0.6329 0.6329 0.2658  2 Mn 2.31, 2 Os 2.31
P2 0.3671 0.3671 0.7342  2 Os 2.31, 2 Mn 2.31
Os1 0.7500 0.2500 0.5000  4 P 2.31
Ca1 0.0000 0.0000 0.0000  8 P 3.12, 4 Mn 3.19, 4 Os 3.19
Mn1 0.2500 0.7500 0.5000  4 P 2.31

**Formation energy from the elements**: -3.44 eV per formula unit
**Space group**: I-4m2, No. 119
**Raw total energy**: -7.3321 eV per atom



(3)
Material: Ca2MnOsRu
Method: DFT, GGA-PBE
State: relaxed

Cell: 5.3256 4.6461 5.3256 Å, 90.00 90.00 90.00°
Closest atoms and distances in Å follow each position.
Sites, in units of the cell vectors:
Ca1 0.5000 0.0000 0.0000  2 Ru 2.66
Ca2 0.0000 0.0000 0.5000  2 Ru 2.66
Mn1 0.5000 0.5000 0.5000  8 Ca 3.53, 4 Os 3.77
Os1 0.0000 0.5000 0.0000  2 Ru 2.32
Ru1 0.0000 0.0000 0.0000  2 Os 2.32

**Formation energy from the elements**: 4.83 eV per formula unit
**Space group**: P4/mmm, No. 123
**Raw total energy**: -5.7692 eV per atom



(4)
Material: SrCa2MnOs
Method: DFT, GGA-PBE
State: relaxed

Cell: 5.2971 5.5520 5.2971 Å, 90.00 90.00 90.00°
Closest atoms and distances in Å follow each position.
Sites, in units of the cell vectors:
Sr1 0.0000 0.5000 0.0000  2 Mn 2.78
Mn1 0.0000 0.0000 0.0000  4 Ca 2.65, 2 Sr 2.78
Os1 0.5000 0.5000 0.5000  4 Sr 3.75, 8 Ca 3.84
Ca1 0.5000 0.0000 0.0000  2 Mn 2.65
Ca2 0.0000 0.0000 0.5000  2 Mn 2.65

**Formation energy from the elements**: 6.86 eV per formula unit
**Space group**: P4/mmm, No. 123
**Raw total energy**: -3.8457 eV per atom



(5)
Material: SrCaMnOs2
Method: DFT, GGA-PBE
State: relaxed

Cell: 4.6109 5.1053 4.6109 Å, 90.00 90.00 90.00°
Closest atoms and distances in Å follow each position.
Sites, in units of the cell vectors:
Ca1 0.5000 0.5000 0.5000  4 Sr 3.26, 8 Os 3.44
Os1 0.5000 0.0000 0.0000  2 Mn 2.31
Os2 0.0000 0.0000 0.5000  2 Mn 2.31
Mn1 0.0000 0.0000 0.0000  4 Os 2.31, 2 Sr 2.55
Sr1 0.0000 0.5000 0.0000  2 Mn 2.55

**Formation energy from the elements**: 4.69 eV per formula unit
**Space group**: P4/mmm, No. 123
**Raw total energy**: -6.1236 eV per atom



(6)
Material: CaTa2MnOs
Method: DFT, GGA-PBE
State: relaxed

Cell: 4.6923 4.0616 4.6923 Å, 90.00 90.00 90.00°
Closest atoms and distances in Å follow each position.
Sites, in units of the cell vectors:
Os1 0.5000 0.5000 0.5000  8 Ta 3.10, 4 Mn 3.32
Ta1 0.0000 0.0000 0.5000  2 Ca 2.35
Ta2 0.5000 0.0000 0.0000  2 Ca 2.35
Mn1 0.0000 0.5000 0.0000  2 Ca 2.03
Ca1 0.0000 0.0000 0.0000  2 Mn 2.03

**Formation energy from the elements**: 12.78 eV per formula unit
**Space group**: P4/mmm, No. 123
**Raw total energy**: -6.6649 eV per atom



(7)
Material: CaTiMn2Os
Method: DFT, GGA-PBE
State: relaxed

Cell: 4.6425 4.6425 4.6544 Å, 90.00 90.00 90.00°
Closest atoms and distances in Å follow each position.
Sites, in units of the cell vectors:
Mn1 0.0000 0.5000 0.0000  2 Ti 2.32
Mn2 0.5000 0.0000 0.0000  2 Ti 2.32
Os1 0.0000 0.0000 0.5000  2 Ti 2.33
Ca1 0.5000 0.5000 0.5000  4 Os 3.28, 8 Mn 3.29
Ti1 0.0000 0.0000 0.0000  4 Mn 2.32, 2 Os 2.33

**Formation energy from the elements**: 3.90 eV per formula unit
**Space group**: P4/mmm, No. 123
**Raw total energy**: -7.1130 eV per atom



(8)
Material: CaTi2MnOs
Method: DFT, GGA-PBE
State: relaxed

Cell: 4.3777 4.8535 4.3777 Å, 90.00 90.00 90.00°
Closest atoms and distances in Å follow each position.
Sites, in units of the cell vectors:
Ti1 0.5000 0.0000 0.0000  2 Mn 2.19
Ti2 0.0000 0.0000 0.5000  2 Mn 2.19
Ca1 0.0000 0.5000 0.0000  2 Mn 2.43
Os1 0.5000 0.5000 0.5000  4 Ca 3.10, 8 Ti 3.27
Mn1 0.0000 0.0000 0.0000  4 Ti 2.19, 2 Ca 2.43

**Formation energy from the elements**: 4.96 eV per formula unit
**Space group**: P4/mmm, No. 123
**Raw total energy**: -6.6471 eV per atom



(9)
Material: CaTiMnOs2
Method: DFT, GGA-PBE
State: relaxed

Cell: 4.6560 4.1634 4.6560 Å, 90.00 90.00 90.00°
Closest atoms and distances in Å follow each position.
Sites, in units of the cell vectors:
Ca1 0.0000 0.0000 0.0000  2 Mn 2.08, 4 Os 2.33
Mn1 0.0000 0.5000 0.0000  2 Ca 2.08
Ti1 0.5000 0.5000 0.5000  8 Os 3.12, 4 Mn 3.29
Os1 0.5000 0.0000 0.0000  2 Ca 2.33
Os2 0.0000 0.0000 0.5000  2 Ca 2.33

**Formation energy from the elements**: 12.29 eV per formula unit
**Space group**: P4/mmm, No. 123
**Raw total energy**: -5.8478 eV per atom



(10)
Material: CaMnP3
Method: DFT, GGA-PBE
State: relaxed

Cell: 5.1010 5.1010 5.1010 Å, 90.00 90.00 90.00°
Closest atoms and distances in Å follow each position.
Sites, in units of the cell vectors:
P1 0.5000 0.0000 0.0000  2 Ca 2.55
P2 0.0000 0.5000 0.0000  2 Ca 2.55
P3 0.0000 0.0000 0.5000  2 Ca 2.55
Ca1 0.0000 0.0000 0.0000  6 P 2.55
Mn1 0.5000 0.5000 0.5000  12 P 3.61

**Formation energy from the elements**: 6.19 eV per formula unit
**Distance to the lowest polymorph of the same formula**: 1311 meV per atom
**Space group**: Pm-3m, No. 221
**Raw total energy**: -4.2417 eV per atom



(11)
Material: CaMn3P
Method: DFT, GGA-PBE
State: relaxed

Cell: 4.4845 4.4845 4.4845 Å, 90.00 90.00 90.00°
Closest atoms and distances in Å follow each position.
Sites, in units of the cell vectors:
Ca1 0.5000 0.5000 0.5000  12 Mn 3.17
Mn1 0.0000 0.5000 0.0000  2 P 2.24
Mn2 0.5000 0.0000 0.0000  2 P 2.24
Mn3 0.0000 0.0000 0.5000  2 P 2.24
P1 0.0000 0.0000 0.0000  6 Mn 2.24

**Formation energy from the elements**: 0.47 eV per formula unit
**Distance to the lowest polymorph of the same formula**: 0 meV per atom
**Space group**: Pm-3m, No. 221
**Raw total energy**: -6.8909 eV per atom



(12)
Material: Ca6MnP5
Method: DFT, GGA-PBE
State: relaxed

Cell: 7.1701 7.1701 14.3831 Å, 90.00 90.00 120.00°
Closest atoms and distances in Å follow each position.
Sites, in units of the cell vectors:
P1 0.3333 0.6667 0.0000  6 Ca 2.84
P2 0.6667 0.3333 0.0000  6 Ca 2.84
P3 0.3039 0.0000 0.2500  1 Mn 2.18
P4 0.6962 0.6962 0.2500  1 Mn 2.18
P5 0.6667 0.3333 0.5000  6 Ca 2.84
P6 0.3333 0.6667 0.5000  6 Ca 2.84
P7 0.0000 0.3039 0.2500  1 Mn 2.18
P8 0.6961 0.0000 0.7500  1 Mn 2.18
P9 0.3038 0.3038 0.7500  1 Mn 2.18
P10 0.0000 0.6961 0.7500  1 Mn 2.18
Ca1 0.0000 0.6263 0.1191  5 P 2.84-3.10
Ca2 0.6263 0.0000 0.1191  5 P 2.84-3.10
Ca3 0.6263 0.6263 0.8809  5 P 2.84-3.10
Ca4 0.3737 0.0000 0.6191  5 P 2.84-3.10
Ca5 0.6263 0.6263 0.6191  5 P 2.84-3.10
Ca6 0.3737 0.3737 0.1191  5 P 2.84-3.10
Ca7 0.6263 0.0000 0.3809  5 P 2.84-3.10
Ca8 0.3737 0.3737 0.3809  5 P 2.84-3.10
Ca9 0.0000 0.6263 0.3809  5 P 2.84-3.10
Ca10 0.0000 0.3737 0.8809  5 P 2.84-3.10
Ca11 0.3737 0.0000 0.8809  5 P 2.84-3.10
Ca12 0.0000 0.3737 0.6191  5 P 2.84-3.10
Mn1 0.0000 0.0000 0.2500  3 P 2.18
Mn2 0.0000 0.0000 0.7500  3 P 2.18

**Formation energy from the elements**: -11.69 eV per formula unit
**Space group**: P6_3/mcm, No. 193
**Raw total energy**: -4.9933 eV per atom



(13)
Material: CaMn2P2
Method: DFT, GGA-PBE
State: relaxed

Cell: 3.7929 3.7929 6.7738 Å, 90.00 90.00 120.00°
Closest atoms and distances in Å follow each position.
Sites, in units of the cell vectors:
Ca1 0.0000 0.0000 0.0000  6 P 2.90
P1 0.3333 0.6667 0.2818  4 Mn 2.27-2.30
P2 0.6667 0.3333 0.7182  4 Mn 2.27-2.30
Mn1 0.6667 0.3333 0.3834  4 P 2.27-2.30
Mn2 0.3333 0.6667 0.6167  4 P 2.27-2.30

**Formation energy from the elements**: -3.40 eV per formula unit
**Space group**: P-3m1, No. 164
**Raw total energy**: -6.9125 eV per atom